Record 1
Mn2BeIn after structural relaxation. Source: Alexandria, functional GGA-PBE.

The structure belongs to space group Cmmm (No. 65); the cell edges are 5.4601, 7.2698 and 2.8418 Å and the angles 90.00°, 90.00° and 90.00°. The asymmetric unit holds Mn at (0.2500, 0.2500, 0.0000), Be at (0.0000, 0.0000, 0.5000) and In at (0.0000, 0.5000, 0.5000).

The density of states at the Fermi level comes out at 4.37 states/eV/cell. For the polymorph energy (0 for the lowest one), the calculation gives 149 meV/atom. As for the total energy: -47.2 eV per cell. For the formation energy from the elements, the calculation gives 0.3046 eV per atom. For the density, the calculation gives 6.9 g/cm³.

***

Record 2
PmNd6Er5 after structural relaxation. Source: Alexandria, functional GGA-PBE.

The structure belongs to space group Immm (No. 71); the cell edges are 5.1262, 10.1081 and 15.3389 Å and the angles 90.00°, 90.00° and 90.00°. The asymmetric unit holds Pm at (0.0000, 0.0000, 0.0000), Nd at (0.0000, 0.2481, 0.5000), Nd at (0.0000, 0.2511, 0.1668), Er at (0.0000, 0.0000, 0.3332), Er at (0.0000, 0.5000, 0.0000) and Er at (0.0000, 0.5000, 0.3325).

The density of states at the Fermi level comes out at 32.36 states/eV/cell. As for the total energy: -111.9 eV per cell. For the formation energy from the elements, the calculation gives 0.0169 eV per atom. For the density, the calculation gives 7.7 g/cm³.

***

Record 3
AcY2Ag after structural relaxation. Source: Alexandria, functional GGA-PBE.

The structure belongs to space group Fm-3m (No. 225); the cell edges are 7.8887, 7.8887 and 7.8887 Å and the angles 90.00°, 90.00° and 90.00°. The asymmetric unit holds Ac at (0.0000, 0.0000, 0.0000), Y at (0.2500, 0.2500, 0.2500) and Ag at (0.0000, 0.0000, 0.5000).

The density of states at the Fermi level comes out at 22.28 states/eV/cell. For the polymorph energy (0 for the lowest one), the calculation gives 285 meV/atom. As for the total energy: -76.8 eV per cell. For the formation energy from the elements, the calculation gives 0.1736 eV per atom. For the density, the calculation gives 6.9 g/cm³.

***

Record 4
AlCuGe after structural relaxation. Source: Alexandria, functional GGA-PBE.

The structure belongs to space group P4/nmm (No. 129, origin choice 2); the cell edges are 3.8417, 3.8417 and 6.4231 Å and the angles 90.00°, 90.00° and 90.00°. The asymmetric unit holds Al at (0.2500, 0.7500, 0.0000), Cu at (0.2500, 0.2500, 0.2579) and Ge at (0.2500, 0.2500, 0.6439).

The density of states at the Fermi level comes out at 2.09 states/eV/cell. As for the total energy: -24.5 eV per cell. For the formation energy from the elements, the calculation gives 0.0688 eV per atom. For the density, the calculation gives 5.7 g/cm³.